one) Here is a relaxed structure of NaBeCd from Alexandria via LeMat-Bulk. Energies are from PBE.

Calculated values
Theoretical density ... 3.86 g cm⁻³
Volume ... 20.72 Å³/atom
N(E_F) ... 0.308 states/eV/atom
Total moment ... 0.0 Bohr magnetons per cell

CIF file:
```
data_NaBeCd
_cell_length_a 5.120
_cell_length_b 4.450
_cell_length_c 5.664
_cell_angle_alpha 90.00
_cell_angle_beta 105.56
_cell_angle_gamma 90.00
_space_group_name_H-M_alt 'P 1 21/m 1'
_space_group_IT_number 11
_space_group_name_Hall '-P 2yb'
loop_
_atom_site_label
_atom_site_fract_x
_atom_site_fract_y
_atom_site_fract_z
Na1 0.249 0.250 0.483
Be1 0.104 0.250 0.970
Cd1 0.333 0.750 0.945
```

two) Here is a relaxed structure of NaBeCd from Alexandria via LeMat-Bulk. Energies are from PBE.

Calculated values
Theoretical density ... 3.72 g cm⁻³
Volume ... 21.50 Å³/atom
N(E_F) ... 0.259 states/eV/atom
Total moment ... 0.0 Bohr magnetons per cell

CIF file:
```
data_NaBeCd
_cell_length_a 4.891
_cell_length_b 4.148
_cell_length_c 6.379
_cell_angle_alpha 90.00
_cell_angle_beta 94.38
_cell_angle_gamma 90.00
_space_group_name_H-M_alt 'P 1 21/m 1'
_space_group_IT_number 11
_space_group_name_Hall '-P 2yb'
loop_
_atom_site_label
_atom_site_fract_x
_atom_site_fract_y
_atom_site_fract_z
Na1 0.233 0.250 0.367
Be1 0.112 0.750 0.019
Cd1 0.356 0.250 0.872
```

Which of them is most stable, and which least? Most stable: two); least stable: one).

one) Here is a relaxed structure of Na3BeCd from Alexandria via LeMat-Bulk. Energies are from PBE.

Calculated values
Theoretical density ... 1.70 g cm⁻³
Volume ... 37.19 Å³/atom
N(E_F) ... 0.571 states/eV/atom
Total moment ... 0.0 Bohr magnetons per cell

CIF file:
```
data_Na3BeCd
_cell_length_a 5.708
_cell_length_b 5.708
_cell_length_c 5.708
_cell_angle_alpha 90.00
_cell_angle_beta 90.00
_cell_angle_gamma 90.00
_space_group_name_H-M_alt 'P m -3 m'
_space_group_IT_number 221
_space_group_name_Hall '-P 4 2 3'
loop_
_atom_site_label
_atom_site_fract_x
_atom_site_fract_y
_atom_site_fract_z
Na1 0.000 0.000 0.500
Be1 0.500 0.500 0.500
Cd1 0.000 0.000 0.000
```

two) Here is a relaxed structure of Na3BeCd from Alexandria via LeMat-Bulk. Energies are from PBE.

Calculated values
Theoretical density ... 2.00 g cm⁻³
Volume ... 31.56 Å³/atom
N(E_F) ... 0.545 states/eV/atom
Total moment ... 0.0 Bohr magnetons per cell

CIF file:
```
data_Na3BeCd
_cell_length_a 5.404
_cell_length_b 5.404
_cell_length_c 5.404
_cell_angle_alpha 90.00
_cell_angle_beta 90.00
_cell_angle_gamma 90.00
_space_group_name_H-M_alt 'P m -3 m'
_space_group_IT_number 221
_space_group_name_Hall '-P 4 2 3'
loop_
_atom_site_label
_atom_site_fract_x
_atom_site_fract_y
_atom_site_fract_z
Na1 0.000 0.000 0.500
Be1 0.000 0.000 0.000
Cd1 0.500 0.500 0.500
```

Which of them is most stable, and which least? Most stable: two); least stable: one).

one) Here is a relaxed structure of NaBe2Cd2 from Alexandria via LeMat-Bulk. Energies are from PBE.

Calculated values
Theoretical density ... 5.34 g cm⁻³
Volume ... 16.52 Å³/atom
N(E_F) ... 0.138 states/eV/atom
Total moment ... 0.0 Bohr magnetons per cell

CIF file:
```
data_NaBe2Cd2
_cell_length_a 7.597
_cell_length_b 7.597
_cell_length_c 2.863
_cell_angle_alpha 90.00
_cell_angle_beta 90.00
_cell_angle_gamma 90.00
_space_group_name_H-M_alt 'P 4/m b m'
_space_group_IT_number 127
_space_group_name_Hall '-P 4 2ab'
loop_
_atom_site_label
_atom_site_fract_x
_atom_site_fract_y
_atom_site_fract_z
Na1 0.000 0.000 0.000
Be1 0.107 0.393 0.000
Cd1 0.183 0.683 0.500
```

two) Here is a relaxed structure of NaBe2Cd2 from Alexandria via LeMat-Bulk. Energies are from PBE.

Calculated values
Theoretical density ... 5.16 g cm⁻³
Volume ... 17.12 Å³/atom
N(E_F) ... 0.253 states/eV/atom
Total moment ... 0.0 Bohr magnetons per cell

CIF file:
```
data_NaBe2Cd2
_cell_length_a 7.915
_cell_length_b 7.915
_cell_length_c 2.733
_cell_angle_alpha 90.00
_cell_angle_beta 90.00
_cell_angle_gamma 90.00
_space_group_name_H-M_alt 'P 4/m b m'
_space_group_IT_number 127
_space_group_name_Hall '-P 4 2ab'
loop_
_atom_site_label
_atom_site_fract_x
_atom_site_fract_y
_atom_site_fract_z
Na1 0.000 0.000 0.000
Be1 0.144 0.356 0.500
Cd1 0.150 0.650 0.000
```

Which of them is most stable, and which least? Most stable: one); least stable: two).

one) Here is a relaxed structure of NaBeCd3 from Alexandria via LeMat-Bulk. Energies are from PBE.

Calculated values
Theoretical density ... 5.56 g cm⁻³
Volume ... 22.07 Å³/atom
N(E_F) ... 0.273 states/eV/atom
Total moment ... 0.0 Bohr magnetons per cell

CIF file:
```
data_NaBeCd3
_cell_length_a 4.796
_cell_length_b 4.796
_cell_length_c 4.796
_cell_angle_alpha 90.00
_cell_angle_beta 90.00
_cell_angle_gamma 90.00
_space_group_name_H-M_alt 'P m -3 m'
_space_group_IT_number 221
_space_group_name_Hall '-P 4 2 3'
loop_
_atom_site_label
_atom_site_fract_x
_atom_site_fract_y
_atom_site_fract_z
Na1 0.000 0.000 0.000
Be1 0.500 0.500 0.500
Cd1 0.000 0.500 0.500
```

two) Here is a relaxed structure of NaBeCd3 from Alexandria via LeMat-Bulk. Energies are from PBE.

Calculated values
Theoretical density ... 3.55 g cm⁻³
Volume ... 34.55 Å³/atom
N(E_F) ... 0.468 states/eV/atom
Total moment ... 0.0 Bohr magnetons per cell

CIF file:
```
data_NaBeCd3
_cell_length_a 5.569
_cell_length_b 5.569
_cell_length_c 5.569
_cell_angle_alpha 90.00
_cell_angle_beta 90.00
_cell_angle_gamma 90.00
_space_group_name_H-M_alt 'P m -3 m'
_space_group_IT_number 221
_space_group_name_Hall '-P 4 2 3'
loop_
_atom_site_label
_atom_site_fract_x
_atom_site_fract_y
_atom_site_fract_z
Na1 0.000 0.000 0.000
Be1 0.500 0.500 0.500
Cd1 0.000 0.000 0.500
```

Which of them is most stable, and which least? Most stable: one); least stable: two).

one) Here is a relaxed structure of BeNbCd3 from Alexandria via LeMat-Bulk. Energies are from PBE.

Calculated values
Theoretical density ... 7.68 g cm⁻³
Volume ... 18.99 Å³/atom
N(E_F) ... 0.545 states/eV/atom
Total moment ... 0.0 Bohr magnetons per cell

CIF file:
```
data_BeNbCd3
_cell_length_a 4.562
_cell_length_b 4.562
_cell_length_c 4.562
_cell_angle_alpha 90.00
_cell_angle_beta 90.00
_cell_angle_gamma 90.00
_space_group_name_H-M_alt 'P m -3 m'
_space_group_IT_number 221
_space_group_name_Hall '-P 4 2 3'
loop_
_atom_site_label
_atom_site_fract_x
_atom_site_fract_y
_atom_site_fract_z
Be1 0.000 0.000 0.000
Nb1 0.500 0.500 0.500
Cd1 0.000 0.000 0.500
```

two) Here is a relaxed structure of BeNbCd3 from Alexandria via LeMat-Bulk. Energies are from PBE.

Calculated values
Theoretical density ... 4.14 g cm⁻³
Volume ... 35.20 Å³/atom
N(E_F) ... 0.632 states/eV/atom
Total moment ... 4.2 Bohr magnetons per cell

CIF file:
```
data_BeNbCd3
_cell_length_a 5.604
_cell_length_b 5.604
_cell_length_c 5.604
_cell_angle_alpha 90.00
_cell_angle_beta 90.00
_cell_angle_gamma 90.00
_space_group_name_H-M_alt 'P m -3 m'
_space_group_IT_number 221
_space_group_name_Hall '-P 4 2 3'
loop_
_atom_site_label
_atom_site_fract_x
_atom_site_fract_y
_atom_site_fract_z
Be1 0.000 0.000 0.000
Nb1 0.500 0.500 0.500
Cd1 0.000 0.500 0.500
```

Which of them is most stable, and which least? Most stable: one); least stable: two).

one) Here is a relaxed structure of BeCdNi from Alexandria via LeMat-Bulk. Energies are from PBE.

Calculated values
Theoretical density ... 7.65 g cm⁻³
Volume ... 13.03 Å³/atom
N(E_F) ... 0.539 states/eV/atom
Total moment ... 0.0 Bohr magnetons per cell

CIF file:
```
data_BeCdNi
_cell_length_a 2.911
_cell_length_b 2.911
_cell_length_c 9.228
_cell_angle_alpha 90.00
_cell_angle_beta 90.00
_cell_angle_gamma 90.00
_space_group_name_H-M_alt 'I 4 m m'
_space_group_IT_number 107
_space_group_name_Hall 'I 4 -2'
loop_
_atom_site_label
_atom_site_fract_x
_atom_site_fract_y
_atom_site_fract_z
Be1 0.000 0.000 0.000
Cd1 0.000 0.000 0.704
Ni1 0.000 0.000 0.408
```

two) Here is a relaxed structure of BeCdNi from Alexandria via LeMat-Bulk. Energies are from PBE.

Calculated values
Theoretical density ... 6.15 g cm⁻³
Volume ... 16.21 Å³/atom
N(E_F) ... 0.517 states/eV/atom
Total moment ... 0.0 Bohr magnetons per cell

CIF file:
```
data_BeCdNi
_cell_length_a 5.794
_cell_length_b 5.794
_cell_length_c 5.794
_cell_angle_alpha 90.00
_cell_angle_beta 90.00
_cell_angle_gamma 90.00
_space_group_name_H-M_alt 'F -4 3 m'
_space_group_IT_number 216
_space_group_name_Hall 'F -4 2 3'
loop_
_atom_site_label
_atom_site_fract_x
_atom_site_fract_y
_atom_site_fract_z
Be1 0.000 0.000 0.000
Cd1 0.250 0.250 0.250
Ni1 0.000 0.000 0.500
```

Which of them is most stable, and which least? Most stable: one); least stable: two).

one) Here is a relaxed structure of Be2CdO from Alexandria via LeMat-Bulk. Energies are from PBE.

Calculated values
Theoretical density ... 5.16 g cm⁻³
Volume ... 11.78 Å³/atom
N(E_F) ... 0.000 states/eV/atom
Total moment ... 0.0 Bohr magnetons per cell

CIF file:
```
data_Be2CdO
_cell_length_a 5.144
_cell_length_b 5.144
_cell_length_c 7.123
_cell_angle_alpha 90.00
_cell_angle_beta 90.00
_cell_angle_gamma 90.00
_space_group_name_H-M_alt 'I -4 2 d'
_space_group_IT_number 122
_space_group_name_Hall 'I -4 2bw'
loop_
_atom_site_label
_atom_site_fract_x
_atom_site_fract_y
_atom_site_fract_z
Be1 0.106 0.250 0.125
Cd1 0.000 0.000 0.500
O1 0.000 0.000 0.000
```

two) Here is a relaxed structure of Be2CdO from Alexandria via LeMat-Bulk. Energies are from PBE.

Calculated values
Theoretical density ... 4.89 g cm⁻³
Volume ... 12.43 Å³/atom
N(E_F) ... 0.844 states/eV/atom
Total moment ... 0.9 Bohr magnetons per cell

CIF file:
```
data_Be2CdO
_cell_length_a 5.837
_cell_length_b 5.837
_cell_length_c 5.837
_cell_angle_alpha 90.00
_cell_angle_beta 90.00
_cell_angle_gamma 90.00
_space_group_name_H-M_alt 'F m -3 m'
_space_group_IT_number 225
_space_group_name_Hall '-F 4 2 3'
loop_
_atom_site_label
_atom_site_fract_x
_atom_site_fract_y
_atom_site_fract_z
Be1 0.250 0.250 0.250
Cd1 0.000 0.000 0.000
O1 0.000 0.000 0.500
```

Which of them is most stable, and which least? Most stable: one); least stable: two).